No. 1
Entry from Alexandria: a PBEsol-optimized structure of ZrPdO3 (SCAN).

Geometry as extended XYZ:
```
5
Lattice="4.087 0.000 0.000 0.000 4.087 0.000 0.000 0.000 4.087" Properties=species:S:1:pos:R:3 pbc="T T T"
Zr 0.000 0.000 0.000
Pd 2.043 2.043 2.043
O 0.000 0.000 2.043
O 0.000 2.043 0.000
O 2.043 0.000 0.000
```

Output
**Space group**: Pm-3m, No. 221
**Formation energy without anion corrections**: -8.56 eV/f.u.

***

No. 2
Entry from Alexandria: a PBEsol-optimized structure of Pm2O3 (SCAN).

Geometry as extended XYZ:
```
5
Lattice="3.783 0.000 0.000 -1.892 3.277 0.000 0.000 0.000 5.911" Properties=species:S:1:pos:R:3 pbc="T T T"
Pm 0.000 2.184 1.463
Pm 1.892 1.092 4.448
O 0.000 0.000 0.000
O 0.000 2.184 3.815
O 1.892 1.092 2.096
```

Output
**Space group**: P-3m1, No. 164
**Formation energy without anion corrections**: -18.69 eV/f.u.

***

No. 3
Entry from Alexandria: a PBEsol-optimized structure of Pm2O3 (SCAN).

Geometry as extended XYZ:
```
15
Lattice="7.085 -1.813 0.000 7.085 1.813 0.000 -1.511 0.000 8.725" Properties=species:S:1:pos:R:3 pbc="T T T"
Pm 0.009 0.000 2.716
Pm 3.846 0.000 3.162
Pm 5.156 0.000 0.103
Pm 7.503 0.000 8.622
Pm 8.813 0.000 5.563
Pm 12.650 0.000 6.009
O 0.647 0.000 6.858
O 1.771 0.000 4.128
O 2.681 0.000 1.108
O 5.441 0.000 7.369
O 6.330 0.000 4.363
O 7.219 0.000 1.356
O 9.979 0.000 7.617
O 10.889 0.000 4.597
O 12.013 0.000 1.867
```

Output
**Space group**: C2/m, No. 12
**Formation energy without anion corrections**: -18.67 eV/f.u.

***

No. 4
Entry from Alexandria: a PBEsol-optimized structure of Pm2O3 (SCAN).

Geometry as extended XYZ:
```
40
Lattice="-5.471 5.471 5.471 5.471 -5.471 5.471 5.471 5.471 -5.471" Properties=species:S:1:pos:R:3 pbc="T T T"
Pm 0.000 0.000 0.000
Pm 5.471 0.000 0.000
Pm 5.471 -2.736 3.078
Pm 8.207 2.393 0.000
Pm 3.078 5.471 -2.736
Pm 3.078 0.000 2.736
Pm 2.736 3.078 0.000
Pm 5.471 2.736 2.393
Pm 0.000 5.471 0.000
Pm 0.000 0.000 5.471
Pm 0.000 2.736 3.078
Pm 2.736 2.393 5.471
Pm 2.393 5.471 2.736
Pm 2.393 0.000 8.207
Pm -2.736 3.078 5.471
Pm 0.000 8.207 2.393
O 6.568 1.536 -1.410
O 1.536 1.410 -1.097
O 1.410 -1.097 1.536
O 3.935 1.410 1.097
O 4.374 3.935 -1.410
O 6.881 1.097 1.536
O 6.881 -1.097 3.935
O -1.097 1.536 1.410
O 3.935 -1.410 4.374
O 1.410 1.097 3.935
O 1.536 -1.410 6.568
O 1.097 3.935 1.410
O 4.374 1.536 4.061
O 3.935 6.881 -1.097
O 4.061 4.374 1.536
O 1.536 6.881 1.097
O 6.568 3.935 4.061
O -1.410 6.568 1.536
O -1.410 4.374 3.935
O 1.097 1.536 6.881
O 1.536 4.061 4.374
O 4.061 6.568 3.935
O 3.935 4.061 6.568
O -1.097 3.935 6.881
```

Output
**Space group**: Ia-3, No. 206
**Formation energy without anion corrections**: -18.72 eV/f.u.

***

Number 1: total energy -90.72 eV per cell, DOS(E_F) 3.7 states/eV per cell. Number 2: total energy -125.36 eV per cell, DOS(E_F) 0.0 states/eV per cell. Number 3: total energy -376.02 eV per cell, DOS(E_F) 0.0 states/eV per cell. Number 4: total energy -1003.06 eV per cell, DOS(E_F) 0.0 states/eV per cell.